## LaSmSiAu (PBE)

Data for an optimized crystal structure of LaSmSiAu.

- total DFT energy (no corrections) (eV per cell) = -20.887
- SG = F-43m (216)

abc: 5.2392 5.2392 5.2392
angles: 60.00 60.00 60.00
With the nearest neighbours (Å) after each atom.
Fractional coordinates of all 4 atoms:
1 Si 0.7500 0.7500 0.7500  4 Sm 3.21, 4 La 3.21
2 La 0.5000 0.5000 0.5000  4 Si 3.21, 4 Au 3.21
3 Sm 0.0000 0.0000 0.0000  4 Au 3.21, 4 Si 3.21
4 Au 0.2500 0.2500 0.2500  4 La 3.21, 4 Sm 3.21